# 1
# LiAc2Ni4P3

An optimized crystal structure of LiAc2Ni4P3 (GGA-PBE, Alexandria).

a b c (Å): 4.1311 4.1311 9.6084
angles (deg): 90.00 90.00 90.00
Space group P-4m2 (No. 115)
One atom of each set of equivalent atoms:
Li  0.0000  0.0000  0.0000
Ac  0.0000  0.5000  0.7459
Ni  0.0000  0.0000  0.5000
Ni  0.0000  0.5000  0.1249
Ni  0.5000  0.5000  0.5000
P  0.0000  0.5000  0.3759
P  0.5000  0.5000  0.0000

## Properties
energy relative to the elements = -0.794 eV/atom
calculated total energy = -5.74 eV/atom

***

# 2
# KHgSb2Se4

An optimized crystal structure of KHgSb2Se4 (GGA-PBE, Alexandria).

a b c (Å): 4.2915 13.8541 15.9024
angles (deg): 90.00 90.00 90.00
Space group Cmcm (No. 63)
One atom of each set of equivalent atoms:
K  0.0000  0.1226  0.2500
Hg  0.0000  0.1694  0.7500
Sb  0.0000  0.3703  0.0582
Se  0.0000  0.0000  0.0000
Se  0.0000  0.2676  0.5987
Se  0.0000  0.4469  0.2500

## Properties
calculated total energy = -3.29 eV/atom
E_form (uncorrected) = -0.3391 eV per atom

***

# 3
# Al2ReIr4

An optimized crystal structure of Al2ReIr4 (GGA-PBE, Alexandria).

a b c (Å): 4.7439 4.7439 12.3938
angles (deg): 90.00 90.00 90.00
Space group I4/mmm (No. 139)
One atom of each set of equivalent atoms:
Al  0.0000  0.0000  0.1085
Re  0.0000  0.0000  0.5000
Ir  0.0000  0.0000  0.3053
Ir  0.0000  0.5000  0.0000

## Properties
energy relative to the elements = 1.099 eV/atom
calculated total energy = -6.81 eV/atom

***

# 4
# ScTc3Ir

An optimized crystal structure of ScTc3Ir (GGA-PBE, Alexandria).

a b c (Å): 4.4614 4.4614 4.4614
angles (deg): 90.00 90.00 90.00
Space group Pm-3m (No. 221)
One atom of each set of equivalent atoms:
Sc  0.0000  0.0000  0.0000
Tc  0.0000  0.0000  0.5000
Ir  0.5000  0.5000  0.5000

## Properties
energy relative to the elements = 1.926 eV/atom
calculated total energy = -7.33 eV/atom

***

# 5
# CsRb2HgAs

An optimized crystal structure of CsRb2HgAs (GGA-PBE, Alexandria).

a b c (Å): 6.9873 6.9873 5.5395
angles (deg): 90.00 90.00 90.00
Space group P4/mmm (No. 123)
One atom of each set of equivalent atoms:
Cs  0.0000  0.0000  0.0000
Rb  0.0000  0.5000  0.5000
Hg  0.5000  0.5000  0.0000
As  0.5000  0.5000  0.5000

## Properties
energy relative to the elements = -0.122 eV/atom
calculated total energy = -1.67 eV/atom

***

# 6
# LaAlZn2N

An optimized crystal structure of LaAlZn2N (GGA-PBE, Alexandria).

a b c (Å): 4.4497 4.4497 6.3082
angles (deg): 90.00 90.00 90.00
Space group P4/mmm (No. 123)
One atom of each set of equivalent atoms:
La  0.0000  0.0000  0.0000
Al  0.0000  0.0000  0.5000
Zn  0.0000  0.5000  0.5000
N  0.5000  0.5000  0.0000

## Properties
calculated total energy = -3.14 eV/atom
E_form (uncorrected) = 0.7673 eV per atom

***

# 7
# Rb2MnInH

An optimized crystal structure of Rb2MnInH (GGA-PBE, Alexandria).

a b c (Å): 6.3758 6.3758 3.9307
angles (deg): 90.00 90.00 90.00
Space group P4/mmm (No. 123)
One atom of each set of equivalent atoms:
Rb  0.0000  0.5000  0.0000
Mn  0.0000  0.0000  0.5000
In  0.5000  0.5000  0.5000
H  0.0000  0.0000  0.0000

## Properties
calculated total energy = -2.98 eV/atom

***

# 8
# K2AcB2O6

An optimized crystal structure of K2AcB2O6 (GGA-PBE, Alexandria).

a b c (Å): 5.8282 5.8282 6.7473
angles (deg): 90.00 90.00 120.00
Space group P-3 (No. 147)
One atom of each set of equivalent atoms:
K  0.3333  0.6667  0.3424
Ac  0.0000  0.0000  0.0000
B  0.3333  0.6667  0.7867
O  0.1626  0.3968  0.7817

## Properties
calculated total energy = -6.88 eV/atom
E_form (uncorrected) = -2.3928 eV per atom

***

# 9
# PbS2I2

An optimized crystal structure of PbS2I2 (GGA-PBE, Alexandria).

a b c (Å): 4.3303 4.3550 12.0528
angles (deg): 92.23 95.38 116.01
Space group P-1 (No. 2)
One atom of each set of equivalent atoms:
Pb  0.0000  0.0000  0.0000
S  0.1204  0.3688  0.4802
I  0.4076  0.6992  0.1668

## Properties
calculated total energy = -3.22 eV/atom
E_form (uncorrected) = -0.2093 eV per atom

***

# 10
# LaTm2Au3

An optimized crystal structure of LaTm2Au3 (GGA-PBE, Alexandria).

a b c (Å): 3.5853 3.5853 11.0927
angles (deg): 90.00 90.00 90.00
Space group P4/mmm (No. 123)
One atom of each set of equivalent atoms:
La  0.0000  0.0000  0.0000
Tm  0.0000  0.0000  0.3401
Au  0.5000  0.5000  0.1927
Au  0.5000  0.5000  0.5000

## Properties
energy relative to the elements = -0.858 eV/atom
calculated total energy = -4.81 eV/atom

***

# 11
# Na4Tl3Pb4

An optimized crystal structure of Na4Tl3Pb4 (GGA-PBE, Alexandria).

a b c (Å): 3.5380 4.9077 19.0886
angles (deg): 82.63 85.21 90.00
Space group P-1 (No. 2)
One atom of each set of equivalent atoms:
Na  0.0922  0.0900  0.3176
Na  0.2744  0.2750  0.9499
Tl  0.0000  0.0000  0.5000
Tl  0.3636  0.3639  0.7732
Pb  0.1799  0.1810  0.1376
Pb  0.4552  0.4553  0.5905

## Properties
energy relative to the elements = -0.090 eV/atom
calculated total energy = -2.56 eV/atom

***

# 12
# TiCo2AgH

An optimized crystal structure of TiCo2AgH (GGA-PBE, Alexandria).

a b c (Å): 4.7799 4.7799 3.1706
angles (deg): 90.00 90.00 90.00
Space group P4/mmm (No. 123)
One atom of each set of equivalent atoms:
Ti  0.0000  0.0000  0.0000
Co  0.0000  0.5000  0.5000
Ag  0.5000  0.5000  0.5000
H  0.5000  0.5000  0.0000

## Properties
calculated total energy = -4.70 eV/atom

***

# 13
# MnReGe

An optimized crystal structure of MnReGe (GGA-PBE, Alexandria).

a b c (Å): 4.6987 2.7989 6.4850
angles (deg): 90.00 95.23 90.00
Space group P2/m (No. 10)
One atom of each set of equivalent atoms:
Mn  0.2362  0.0000  0.3457
Re  0.0000  0.5000  0.0000
Re  0.5000  0.0000  0.0000
Ge  0.2702  0.5000  0.6711

## Properties
energy relative to the elements = 0.140 eV/atom
calculated total energy = -8.61 eV/atom

***

# 14
# PdSe2I

An optimized crystal structure of PdSe2I (GGA-PBE, Alexandria).

a b c (Å): 5.0927 5.0927 3.3422
angles (deg): 90.00 90.00 90.00
Space group P4/mmm (No. 123)
One atom of each set of equivalent atoms:
Pd  0.0000  0.0000  0.0000
Se  0.0000  0.5000  0.5000
I  0.5000  0.5000  0.0000

## Properties
calculated total energy = -2.81 eV/atom
E_form (uncorrected) = 0.6141 eV per atom

***

# 15
# Pm5Cu4Pd

An optimized crystal structure of Pm5Cu4Pd (GGA-PBE, Alexandria).

a b c (Å): 3.5630 3.5630 18.0019
angles (deg): 90.00 90.00 90.00
Space group P4/mmm (No. 123)
One atom of each set of equivalent atoms:
Pm  0.0000  0.0000  0.0000
Pm  0.0000  0.0000  0.1993
Pm  0.0000  0.0000  0.3993
Cu  0.5000  0.5000  0.0995
Cu  0.5000  0.5000  0.2985
Pd  0.5000  0.5000  0.5000

## Properties
energy relative to the elements = -0.279 eV/atom
calculated total energy = -4.81 eV/atom

***

# 16
# ThFeSi2

An optimized crystal structure of ThFeSi2 (GGA-PBE, Alexandria).

a b c (Å): 3.9707 3.9707 15.3621
angles (deg): 90.00 90.00 120.00
Space group R-3m (No. 166, hexagonal axes)
One atom of each set of equivalent atoms:
Th  0.0000  0.0000  0.0000
Fe  0.0000  0.0000  0.5000
Si  0.0000  0.0000  0.2040

## Properties
calculated total energy = -7.36 eV/atom
E_form (uncorrected) = -0.6737 eV per atom

***

# 17
# Ac2La6Pr

An optimized crystal structure of Ac2La6Pr (GGA-PBE, Alexandria).

a b c (Å): 15.8145 10.3941 9.4859
angles (deg): 90.00 117.44 90.00
Space group C2/c (No. 15)
One atom of each set of equivalent atoms:
Ac  0.0911  0.0885  0.1713
La  0.0803  0.4331  0.1668
La  0.1654  0.2455  0.5807
La  0.2376  0.4147  0.9929
Pr  0.0000  0.2410  0.7500

## Properties
energy relative to the elements = 0.055 eV/atom
calculated total energy = -4.67 eV/atom

***

# 18
# HfZn2Sn2

An optimized crystal structure of HfZn2Sn2 (GGA-PBE, Alexandria).

a b c (Å): 7.7736 7.7736 3.5043
angles (deg): 90.00 90.00 90.00
Space group P4/mbm (No. 127)
One atom of each set of equivalent atoms:
Hf  0.0000  0.0000  0.0000
Zn  0.1535  0.3465  0.5000
Sn  0.1472  0.6472  0.0000

## Properties
energy relative to the elements = 0.137 eV/atom
calculated total energy = -3.96 eV/atom

***

# 19
# CrHg2As

An optimized crystal structure of CrHg2As (GGA-PBE, Alexandria).

a b c (Å): 4.3025 4.3025 8.8604
angles (deg): 90.00 90.00 90.00
Space group I-4m2 (No. 119)
One atom of each set of equivalent atoms:
Cr  0.0000  0.0000  0.0000
Hg  0.0000  0.0000  0.5000
Hg  0.0000  0.5000  0.7500
As  0.0000  0.5000  0.2500

## Properties
energy relative to the elements = 0.392 eV/atom
calculated total energy = -3.33 eV/atom

***

# 20
# Tc2RhBr

An optimized crystal structure of Tc2RhBr (GGA-PBE, Alexandria).

a b c (Å): 2.8923 2.8923 25.6780
angles (deg): 90.00 90.00 120.00
Space group R-3m (No. 166, hexagonal axes)
One atom of each set of equivalent atoms:
Tc  0.0000  0.0000  0.2505
Rh  0.0000  0.0000  0.0000
Br  0.0000  0.0000  0.5000

## Properties
calculated total energy = -6.87 eV/atom
E_form (uncorrected) = 0.5657 eV per atom